The following is a GGA-PBE calculation of crystalline Ta2Re at its relaxed geometry, from Alexandria via LeMat-Bulk.

Cell and atoms, written as POSCAR:
```
Ta2Re
1.0
0.000 3.750 3.750
3.750 0.000 3.750
3.750 3.750 0.000
Ta Re
4 2
Direct
0.625 0.625 0.625
0.625 0.125 0.625
0.125 0.625 0.625
0.625 0.625 0.125
0.250 0.250 0.250
0.000 0.000 0.000
```

* SG: Fd-3m
* calculated density: 17.26 Mg/m³
* DOS at the Fermi energy: 4.60 states/eV/f.u.
* crystal system: cubic
* E: -0.849 Ry/atom
* total magnetic moment: 0.0212 μB per atom

The following is a GGA-PBE calculation of crystalline Ta2Re at its relaxed geometry, from Alexandria via LeMat-Bulk.

Cell and atoms, written as POSCAR:
```
Ta2Re
1.0
-0.499 -0.725 -4.431
0.847 -3.463 2.774
-2.820 -0.385 0.381
Re Ta
1 2
Direct
0.000 0.000 0.000
0.667 0.333 0.681
0.333 0.667 0.319
```

* SG: P-3m1
* calculated density: 17.93 Mg/m³
* DOS at the Fermi energy: 1.38 states/eV/f.u.
* crystal system: trigonal
* E: -0.904 Ry/atom
* total magnetic moment: 0.0000 μB per atom

The following is a GGA-PBE calculation of crystalline Ta3Re at its relaxed geometry, from Alexandria via LeMat-Bulk.

Cell and atoms, written as POSCAR:
```
Ta3Re
1.0
4.143 0.000 0.000
0.000 4.143 0.000
0.000 0.000 4.143
Ta Re
3 1
Direct
0.500 0.500 0.000
0.000 0.500 0.500
0.500 0.000 0.500
0.000 0.000 0.000
```

* SG: Pm-3m
* calculated density: 17.03 Mg/m³
* DOS at the Fermi energy: 4.88 states/eV/f.u.
* crystal system: cubic
* E: -0.868 Ry/atom
* total magnetic moment: 0.0000 μB per atom

The following is a GGA-PBE calculation of crystalline Ta2Re at its relaxed geometry, from Alexandria via LeMat-Bulk.

Cell and atoms, written as POSCAR:
```
Ta2Re
1.0
0.000 2.319 6.775
1.618 0.000 6.775
1.618 2.319 0.000
Ta Re
2 1
Direct
0.162 0.162 0.838
0.838 0.838 0.162
0.500 0.500 0.500
```

* SG: Fmmm
* calculated density: 17.90 Mg/m³
* DOS at the Fermi energy: 1.23 states/eV/f.u.
* crystal system: orthorhombic
* E: -0.899 Ry/atom
* total magnetic moment: 0.0000 μB per atom

The following is a GGA-PBE calculation of crystalline TaRe8 at its relaxed geometry, from Alexandria via LeMat-Bulk.

Cell and atoms, written as POSCAR:
```
TaRe8
1.0
2.625 -3.923 4.127
0.618 5.635 -2.681
-4.853 1.576 3.644
Ta Re
1 8
Direct
0.000 0.000 0.000
0.675 0.675 0.350
0.325 0.325 0.650
0.000 0.659 0.659
0.675 0.325 0.000
0.341 0.000 0.341
0.325 0.675 0.000
0.000 0.341 0.341
0.659 0.000 0.659
```

* SG: I4/mmm
* calculated density: 19.86 Mg/m³
* DOS at the Fermi energy: 7.60 states/eV/f.u.
* crystal system: tetragonal
* E: -0.909 Ry/atom
* total magnetic moment: 0.0000 μB per atom

The following is a GGA-PBE calculation of crystalline Ta3Re at its relaxed geometry, from Alexandria via LeMat-Bulk.

Cell and atoms, written as POSCAR:
```
Ta3Re
1.0
2.839 -4.918 0.000
2.839 4.918 0.000
0.000 0.000 5.078
Ta Re
6 2
Direct
0.831 0.662 0.250
0.338 0.169 0.250
0.169 0.831 0.750
0.831 0.169 0.250
0.169 0.338 0.750
0.662 0.831 0.750
0.667 0.333 0.750
0.333 0.667 0.250
```

* SG: P6_3/mmc
* calculated density: 17.08 Mg/m³
* DOS at the Fermi energy: 4.78 states/eV/f.u.
* crystal system: hexagonal
* E: -0.869 Ry/atom
* total magnetic moment: 0.0000 μB per atom

Question: Which of these has the highest E?
Answer: number 1

Question: Among the records above, which one has the highest calculated density?
Answer: TaRe8